# 1
Compound: Zr2ScIn
Source: OQMD
Functional: PBE-GGA
Structure: relaxed

Unit cell a=5.0362 b=5.0362 c=5.0362 alpha=60.00 beta=60.00 gamma=60.00
Last column: nearest neighbours and their distance in Å.
Element x y z (fractional)
Zr1 0.0000 0.0000 0.0000  4 Sc 3.08, 4 Zr 3.08
Zr2 0.7500 0.7500 0.7500  4 In 3.08, 4 Zr 3.08
Sc1 0.2500 0.2500 0.2500  4 Zr 3.08, 4 In 3.08
In1 0.5000 0.5000 0.5000  4 Zr 3.08, 4 Sc 3.08

Properties
Total magnetic moment, Bohr magnetons per cell: 1.3
Mass density, g/cm³: 6.29
Space-group type: F-43m, No. 216
Total energy, eV per atom: -6.63

# 2
Compound: Ta2AgOs2
Source: OQMD
Functional: PBE-GGA
Structure: relaxed

Unit cell a=7.5836 b=7.5836 c=3.0183 alpha=90.00 beta=90.00 gamma=90.00
Last column: nearest neighbours and their distance in Å.
Element x y z (fractional)
Os1 0.8596 0.6404 0.0000  6 Ta 2.67-2.70, 2 Ag 2.93
Ta1 0.6543 0.8457 0.5000  6 Os 2.67-2.70
Os2 0.6404 0.1404 0.0000  6 Ta 2.67-2.70, 2 Ag 2.93
Os3 0.3596 0.8596 0.0000  6 Ta 2.67-2.70, 2 Ag 2.93
Ag1 0.0000 0.0000 0.0000  4 Os 2.93, 2 Ag 3.02, 8 Ta 3.24
Ta2 0.8457 0.3457 0.5000  6 Os 2.67-2.70
Ag2 0.5000 0.5000 0.0000  4 Os 2.93, 2 Ag 3.02, 8 Ta 3.24
Os4 0.1404 0.3596 0.0000  6 Ta 2.67-2.70, 2 Ag 2.93
Ta3 0.3457 0.1543 0.5000  6 Os 2.67-2.70
Ta4 0.1543 0.6543 0.5000  6 Os 2.67-2.70

Properties
Total magnetic moment, Bohr magnetons per cell: 0.0
ΔH_f (0 K), eV/f.u.: 0.00
Mass density, g/cm³: 16.27
Space-group type: P4/mbm, No. 127

# 3
Compound: TbErSi4Pd2
Source: OQMD
Functional: PBE-GGA
Structure: relaxed

Unit cell a=4.0948 b=8.9034 c=8.9034 alpha=26.20 beta=90.00 gamma=90.00
Last column: nearest neighbours and their distance in Å.
Element x y z (fractional)
Si1 0.0000 0.9660 0.9660  2 Si 2.37, 1 Pd 2.39
Si2 0.0000 0.2484 0.2484  4 Pd 2.44-2.45
Pd1 0.0000 0.8281 0.8281  5 Si 2.39-2.45
Pd2 0.5000 0.1716 0.1716  5 Si 2.37-2.44
Si3 0.5000 0.7511 0.7511  4 Pd 2.44
Tb1 0.5000 0.4006 0.4006  10 Si 3.08-3.34, 4 Pd 3.14
Er1 0.0000 0.5994 0.5994  10 Si 3.07-3.33, 4 Pd 3.14
Si4 0.5000 0.0348 0.0348  2 Si 2.37, 1 Pd 2.37

Properties
Total magnetic moment, Bohr magnetons per cell: 0.0
Mass density, g/cm³: 7.55
Space-group type: Amm2, No. 38
Total energy, eV per atom: -5.96

# 4
Compound: LaOsNO
Source: OQMD
Functional: PBE-GGA
Structure: relaxed

Unit cell a=3.8594 b=3.8594 c=8.1447 alpha=90.00 beta=90.00 gamma=90.00
Last column: nearest neighbours and their distance in Å.
Element x y z (fractional)
O1 0.0000 0.0000 0.0000  4 La 2.33
N1 0.5000 0.0000 0.6135  4 Os 2.14
La1 0.5000 0.0000 0.1605  4 O 2.33
Os1 0.5000 0.5000 0.5000  4 N 2.14
O2 0.5000 0.5000 0.0000  4 La 2.33
N2 0.0000 0.5000 0.3865  4 Os 2.14
La2 0.0000 0.5000 0.8395  4 O 2.33
Os2 0.0000 0.0000 0.5000  4 N 2.14

Properties
Total magnetic moment, Bohr magnetons per cell: 0.0
Mass density, g/cm³: 9.83
Space-group type: P4/nmm, No. 129
Offset from the most stable computed form, meV per atom: 0

# 5
Compound: DyMgCuSe3
Source: OQMD
Functional: PBE-GGA
Structure: relaxed

Unit cell a=6.6911 b=6.6911 c=10.6523 alpha=90.00 beta=90.00 gamma=33.51
Last column: nearest neighbours and their distance in Å.
Element x y z (fractional)
Mg1 0.2299 0.2299 0.7500  6 Se 2.85-2.89
Se1 0.3516 0.3516 0.4205  1 Cu 2.44
Se2 0.6484 0.6484 0.9205  1 Cu 2.44
Se3 0.8975 0.8975 0.7500  2 Cu 2.49
Se4 0.6484 0.6484 0.5795  1 Cu 2.44
Cu1 0.5209 0.5209 0.7500  4 Se 2.44-2.49
Mg2 0.7701 0.7701 0.2500  6 Se 2.85-2.89
Se5 0.3516 0.3516 0.0795  1 Cu 2.44
Dy1 0.0000 0.0000 0.5000  6 Se 2.84-2.97
Dy2 0.0000 0.0000 0.0000  6 Se 2.84-2.97
Cu2 0.4791 0.4791 0.2500  4 Se 2.44-2.49
Se6 0.1025 0.1025 0.2500  2 Cu 2.49

Properties
Total magnetic moment, Bohr magnetons per cell: 0.0
Mass density, g/cm³: 6.15
Space-group type: Cmcm, No. 63
Offset from the most stable computed form, meV per atom: 0

# 6
Compound: Rb2PrInO4
Source: OQMD
Functional: PBE-GGA
Structure: relaxed

Unit cell a=3.5242 b=3.5242 c=12.8162 alpha=90.00 beta=90.00 gamma=120.00
Last column: nearest neighbours and their distance in Å.
Element x y z (fractional)
O1 0.3333 0.6667 0.0843  3 In 2.30
Rb1 0.6667 0.3333 0.2401  6 O 2.85-2.90
Pr1 0.0000 0.0000 0.5000  6 O 2.40
O2 0.6667 0.3333 0.5986  3 Pr 2.40
O3 0.6667 0.3333 0.9157  3 In 2.30
O4 0.3333 0.6667 0.4014  3 Pr 2.40
In1 0.0000 0.0000 0.0000  6 O 2.30
Rb2 0.3333 0.6667 0.7599  6 O 2.85-2.90

Properties
Total magnetic moment, Bohr magnetons per cell: 0.0
Mass density, g/cm³: 5.91
Space-group type: P-3m1, No. 164
Total energy, eV per atom: -5.62

# 7
Compound: PrBPt
Source: OQMD
Functional: PBE-GGA
Structure: relaxed

Unit cell a=4.5131 b=4.5131 c=4.5131 alpha=60.00 beta=60.00 gamma=60.00
Last column: nearest neighbours and their distance in Å.
Element x y z (fractional)
B1 0.2500 0.2500 0.2500  4 Pt 2.76
Pt1 0.0000 0.0000 0.0000  4 Pr 2.76, 4 B 2.76
Pr1 0.7500 0.7500 0.7500  4 Pt 2.76

Properties
Total magnetic moment, Bohr magnetons per cell: 0.4
Mass density, g/cm³: 8.86
Space-group type: F-43m, No. 216
Offset from the most stable computed form, meV per atom: 344

# 8
Compound: Dy3Cd3GaCu2
Source: OQMD
Functional: PBE-GGA
Structure: relaxed

Unit cell a=7.3667 b=7.3667 c=4.1245 alpha=90.00 beta=90.00 gamma=120.00
Last column: nearest neighbours and their distance in Å.
Element x y z (fractional)
Ga1 0.0000 0.0000 0.5000  6 Cd 2.79, 3 Dy 3.07
Dy1 0.4164 0.0000 0.5000  4 Cu 3.03, 1 Ga 3.07, 6 Cd 3.17-3.38
Cd1 0.7441 0.0000 0.0000  2 Cu 2.78, 2 Ga 2.79
Cd2 0.0000 0.7441 0.0000  2 Cu 2.78, 2 Ga 2.79
Cd3 0.2559 0.2559 0.0000  2 Cu 2.78, 2 Ga 2.79
Dy2 0.0000 0.4164 0.5000  4 Cu 3.03, 1 Ga 3.07, 6 Cd 3.17-3.38
Cu1 0.3333 0.6667 0.0000  3 Cd 2.78, 6 Dy 3.03
Cu2 0.6667 0.3333 0.0000  3 Cd 2.78, 6 Dy 3.03
Dy3 0.5836 0.5836 0.5000  4 Cu 3.03, 1 Ga 3.07, 6 Cd 3.17-3.38

Properties
Total magnetic moment, Bohr magnetons per cell: 0.0
Mass density, g/cm³: 8.75
Space-group type: P-62m, No. 189
Total energy, eV per atom: -3.34

# 9
Compound: CdGeSeO
Source: OQMD
Functional: PBE-GGA
Structure: relaxed

Unit cell a=5.1293 b=5.1293 c=6.7692 alpha=90.00 beta=90.00 gamma=90.00
Last column: nearest neighbours and their distance in Å.
Element x y z (fractional)
Se1 0.7500 0.2500 0.5000  4 Ge 2.72
O1 0.2500 0.2500 0.1082  1 Ge 1.74
Se2 0.2500 0.7500 0.5000  4 Ge 2.72
Ge1 0.7500 0.7500 0.6342  1 O 1.74
Cd1 0.2500 0.2500 0.7985  1 O 2.10
O2 0.7500 0.7500 0.8918  1 Ge 1.74
Cd2 0.7500 0.7500 0.2015  1 O 2.10
Ge2 0.2500 0.2500 0.3658  1 O 1.74

Properties
Mass density, g/cm³: 5.22
Space-group type: P4/nmm, No. 129
Offset from the most stable computed form, meV per atom: 397

# 10
Compound: NaHfTcTe
Source: OQMD
Functional: PBE-GGA
Structure: relaxed

Unit cell a=4.7965 b=4.7965 c=4.7965 alpha=60.00 beta=60.00 gamma=60.00
Last column: nearest neighbours and their distance in Å.
Element x y z (fractional)
Na1 0.7500 0.7500 0.7500  4 Te 2.94, 4 Tc 2.94
Hf1 0.2500 0.2500 0.2500  4 Te 2.94, 4 Tc 2.94
Tc1 0.0000 0.0000 0.0000  4 Hf 2.94, 4 Na 2.94
Te1 0.5000 0.5000 0.5000  4 Na 2.94, 4 Hf 2.94

Properties
Total magnetic moment, Bohr magnetons per cell: 0.0
Mass density, g/cm³: 9.09
Space-group type: F-43m, No. 216
Offset from the most stable computed form, meV per atom: 231

# 11
Compound: PrHoHg
Source: OQMD
Functional: PBE-GGA
Structure: relaxed

Unit cell a=5.1807 b=5.1807 c=5.1807 alpha=60.00 beta=60.00 gamma=60.00
Last column: nearest neighbours and their distance in Å.
Element x y z (fractional)
Ho1 0.2500 0.2500 0.2500  4 Hg 3.17
Hg1 0.0000 0.0000 0.0000  4 Pr 3.17, 4 Ho 3.17
Pr1 0.7500 0.7500 0.7500  4 Hg 3.17

Properties
Total magnetic moment, Bohr magnetons per cell: 0.2
ΔH_f (0 K), eV/f.u.: -0.29
Mass density, g/cm³: 8.55
Space-group type: F-43m, No. 216
Offset from the most stable computed form, meV per atom: 0

# 12
Compound: Pr2Sc2CBrCl4
Source: OQMD
Functional: PBE-GGA
Structure: relaxed

Unit cell a=8.8623 b=8.8623 c=7.7743 alpha=107.61 beta=107.61 gamma=24.02
Last column: nearest neighbours and their distance in Å.
Element x y z (fractional)
Cl1 0.8457 0.8457 0.1190  1 Sc 2.62, 2 Pr 2.81
Cl2 0.1595 0.1595 0.3313  1 Sc 2.71, 2 Pr 2.86
Cl3 0.8405 0.8405 0.6687  1 Sc 2.71, 2 Pr 2.86
Cl4 0.1543 0.1543 0.8810  1 Sc 2.62, 2 Pr 2.81
Sc1 0.9998 0.9998 0.3047  2 C 2.39, 1 Cl 2.62
Pr1 0.3488 0.3488 0.3939  1 C 2.49
Br1 0.5000 0.5000 0.0000  4 Sc 3.00
Pr2 0.6512 0.6512 0.6061  1 C 2.49
Sc2 0.0002 0.0002 0.6953  2 C 2.39, 1 Cl 2.62
C1 0.5000 0.5000 0.5000  4 Sc 2.39, 2 Pr 2.49

Properties
Total magnetic moment, Bohr magnetons per cell: 0.1
Mass density, g/cm³: 4.25
Space-group type: C2/m, No. 12
Offset from the most stable computed form, meV per atom: 29

# 13
Compound: KHoBeTe3
Source: OQMD
Functional: PBE-GGA
Structure: relaxed

Unit cell a=8.2387 b=8.2387 c=11.5841 alpha=90.00 beta=90.00 gamma=150.00
Last column: nearest neighbours and their distance in Å.
Element x y z (fractional)
Te1 0.6255 0.3745 0.0750  1 Be 2.48
Ho1 0.0000 0.0000 0.0000  6 Te 3.05-3.06
K1 0.2530 0.7470 0.2500  6 Te 3.57-3.65
Te2 0.3745 0.6255 0.5750  1 Be 2.48
K2 0.7470 0.2530 0.7500  6 Te 3.57-3.65
Te3 0.3745 0.6255 0.9250  1 Be 2.48
Ho2 0.0000 0.0000 0.5000  6 Te 3.05-3.06
Te4 0.9388 0.0612 0.2500  2 Be 2.63
Be1 0.4641 0.5359 0.7500  4 Te 2.48-2.63
Te5 0.0612 0.9388 0.7500  2 Be 2.63
Be2 0.5359 0.4641 0.2500  4 Te 2.48-2.63
Te6 0.6255 0.3745 0.4250  1 Be 2.48

Properties
Total magnetic moment, Bohr magnetons per cell: 0.0
Mass density, g/cm³: 5.03
Space-group type: Cmcm, No. 63
Total energy, eV per atom: -4.15

# 14
Compound: YGaFe
Source: OQMD
Functional: PBE-GGA
Structure: relaxed

Unit cell a=4.3779 b=4.3779 c=4.3779 alpha=60.00 beta=60.00 gamma=60.00
Last column: nearest neighbours and their distance in Å.
Element x y z (fractional)
Fe1 0.0000 0.0000 0.0000  4 Ga 2.68, 4 Y 2.68
Y1 0.7500 0.7500 0.7500  4 Fe 2.68
Ga1 0.2500 0.2500 0.2500  4 Fe 2.68

Properties
Total magnetic moment, Bohr magnetons per cell: 0.7
Mass density, g/cm³: 6.00
Space-group type: F-43m, No. 216
Total energy, eV per atom: -5.85